1.
Material: La2TlIr
Method: DFT, GGA-PBEsol
State: relaxed

Lattice parameters (Å, degrees): 4.0977 4.0977 24.5015 90.00 90.00 120.00
Last column: nearest neighbours and their distance in Å.
Space group R-3m (No. 166, hexagonal axes)
Asymmetric unit:
La 0.0000 0.0000 0.2315 [6 per cell]  3 Ir 2.85
Tl 0.0000 0.0000 0.0000 [3 per cell]  6 La 3.44
Ir 0.0000 0.0000 0.5000 [3 per cell]  6 La 2.85

Computed properties:
VASP energy: -6.305 eV/atom
E_form: -0.5186 eV/atom



2.
Material: La2IrW
Method: DFT, GGA-PBEsol
State: relaxed

Lattice parameters (Å, degrees): 4.2240 4.6183 10.5489 90.00 90.00 90.00
Last column: nearest neighbours and their distance in Å.
Space group Amm2 (No. 38)
Asymmetric unit:
La 0.0000 0.0000 0.0000 [2 per cell]  3 W 3.11-3.16, 4 Ir 3.27
La 0.5000 0.0000 0.3034 [2 per cell]  3 Ir 3.04-3.21, 4 W 3.30
Ir 0.5000 0.0000 0.5915 [2 per cell]  2 W 2.43
W 0.0000 0.0000 0.7047 [2 per cell]  2 Ir 2.43

Computed properties:
VASP energy: -8.526 eV/atom
E_form: 0.0546 eV/atom



3.
Material: LaIr2W
Method: DFT, GGA-PBEsol
State: relaxed

Lattice parameters (Å, degrees): 4.2749 4.2749 7.7464 90.00 90.00 90.00
Last column: nearest neighbours and their distance in Å.
Space group I4/mmm (No. 139)
Asymmetric unit:
La 0.0000 0.0000 0.0000 [2 per cell]  8 Ir 2.88, 4 W 3.02
Ir 0.0000 0.5000 0.2500 [4 per cell]  4 La 2.88, 4 W 2.88, 4 Ir 3.02
W 0.0000 0.0000 0.5000 [2 per cell]  8 Ir 2.88, 4 La 3.02

Computed properties:
VASP energy: -9.392 eV/atom
E_form: 0.3086 eV/atom